Density functional theory data (PBE) for crystalline BaMgAl3P2H2O14 at its relaxed geometry.

Summary:
The excess energy over the best structure of this formula in the dataset comes out at 122 meV/atom. The density of states at the Fermi level is 11.84 states/eV per cell. As for the total magnetization: 0.04 μB/atom. The value obtained for the density is 2760 kg/m3. The final energy is -6.5774 eV per atom.

Lattice parameters (Å, degrees): 10.679 6.836 9.333 90.00 110.46 90.00
Space group Cm (No. 8)
Symmetry-distinct sites (fractional):
Ba: 0.000 0.000 0.000 [2 per cell]
Mg: 0.253 0.000 0.668 [2 per cell]
Al: 0.183 0.279 0.413 [4 per cell]
Al: 0.482 0.500 0.482 [2 per cell]
P: 0.257 0.500 0.174 [2 per cell]
P: 0.341 0.000 0.947 [2 per cell]
H: 0.008 0.500 0.272 [2 per cell]
H: 0.353 0.000 0.411 [2 per cell]
O: 0.078 0.500 0.380 [2 per cell]
O: 0.107 0.183 0.537 [4 per cell]
O: 0.186 0.000 0.870 [2 per cell]
O: 0.197 0.310 0.223 [4 per cell]
O: 0.243 0.500 0.009 [2 per cell]
O: 0.273 0.000 0.441 [2 per cell]
O: 0.344 0.388 0.540 [4 per cell]
O: 0.381 0.175 0.862 [4 per cell]
O: 0.395 0.000 0.118 [2 per cell]
O: 0.413 0.500 0.277 [2 per cell]